Material: CrCu2Pb
Method: DFT, GGA-PBE
State: relaxed

POSCAR file:
```
CrCu2Pb
1.0
8.802 0.000 0.000
0.000 3.367 0.000
-1.126 0.000 4.660
Cr Cu Pb
2 4 2
Cartesian
0.000 0.000 0.000 Cr
4.401 1.684 0.000 Cr
1.876 1.684 0.898 Cu
1.399 0.000 3.762 Cu
6.277 0.000 0.898 Cu
5.800 1.684 3.762 Cu
-0.563 1.684 2.330 Pb
3.838 0.000 2.330 Pb
```

Properties
Energy, eV/cell: -39.581
Calculated volume, Å³/atom: 17.3
Calculated density, g cm⁻³: 9.29